## CeZnRhAu (PBE)

Data for a relaxed structure of CeZnRhAu. Values from VASP.

The structure in Quantum ESPRESSO input format:
```
&SYSTEM
  ibrav = 0, nat = 4, ntyp = 4
/
ATOMIC_SPECIES
Ce 140.12 Ce.upf
Zn 65.41 Zn.upf
Rh 102.91 Rh.upf
Au 196.97 Au.upf
CELL_PARAMETERS angstrom
0.000 3.386 3.386
3.386 0.000 3.386
3.386 3.386 0.000
ATOMIC_POSITIONS crystal
Ce 0.000 0.000 0.000
Zn 0.500 0.500 0.500
Rh 0.750 0.750 0.750
Au 0.250 0.250 0.250
```

Properties
Energy in eV per atom: -4.929
Energy of formation in eV per atom: -0.470